VASP calculation (meta-GGA SCAN) on a PBEsol-optimized structure of CoTc.

The relative energy among the computed polymorphs is 0.0000 eV per atom. For the formation energy, the calculation gives 0.0614 eV per atom. The value obtained for the density of states at the Fermi level is 2.8 states/eV/cell.

The structure belongs to space group Pmma (No. 51); the cell edges are 4.1051, 2.5612 and 4.4921 Å and the angles 90.00°, 90.00° and 90.00°. The asymmetric unit holds Co at (0.2500, 0.0000, 0.1578) and Tc at (0.2500, 0.5000, 0.6738).

---

VASP calculation (meta-GGA SCAN) on a PBEsol-optimized structure of Te4O9.

The value obtained for the density of states at the Fermi level is 0.0 states/eV/cell. The uncorrected formation energy is -1060 meV per atom.

The structure belongs to space group R-3 (No. 148, hexagonal axes); the cell edges are 9.3368, 9.3368 and 14.5136 Å and the angles 90.00°, 90.00° and 120.00°. The asymmetric unit holds Te at (0.0000, 0.0000, 0.1810), Te at (0.0201, 0.2808, 0.5810), O at (0.0206, 0.1749, 0.2601), O at (0.0262, 0.7724, 0.5478) and O at (0.0323, 0.1805, 0.9010).

---

VASP calculation (meta-GGA SCAN) on a PBEsol-optimized structure of LiMgRh2.

For the formation energy, the calculation gives -0.2911 eV per atom. The value obtained for the density of states at the Fermi level is 4.9 states/eV/cell.

The structure belongs to space group Immm (No. 71); the cell edges are 2.8823, 4.5218 and 8.4109 Å and the angles 90.00°, 90.00° and 90.00°. The asymmetric unit holds Li at (0.0000, 0.0000, 0.0000), Mg at (0.0000, 0.0000, 0.5000) and Rh at (0.0000, 0.5000, 0.2578).

---

VASP calculation (meta-GGA SCAN) on a PBEsol-optimized structure of ZnTeSe.

The value obtained for the density of states at the Fermi level is 2.5 states/eV/cell. The uncorrected formation energy is -170 meV per atom.

The structure belongs to space group I4mm (No. 107); the cell edges are 3.2177, 3.2177 and 15.3913 Å and the angles 90.00°, 90.00° and 90.00°. The asymmetric unit holds Zn at (0.0000, 0.0000, 0.0000), Te at (0.0000, 0.0000, 0.1682) and Se at (0.0000, 0.0000, 0.4238).

---

no.,DFT total energy (eV/atom)
1,-26.121
2,-16.836
3,-19.018
4,-23.785